Version A
Entry from the Alexandria database: an optimized crystal structure of Li2Cd3In2 (GGA-PBE).

Summary:
As for the space group: C2/m, No. 12. The calculation puts the density of states at the Fermi level at 0.327 states/eV per atom.

a b c (Å): 4.5179 5.4228 6.8405
angles (deg): 98.04 90.00 114.62
Closest atoms and distances in Å follow each position.
Element x y z (fractional)
Li (0.7914, 0.5827, 0.8510)  4 In 2.96-3.11, 6 Cd 3.06-3.19, 2 Li 3.23
Li (0.2086, 0.4173, 0.1490)  4 In 2.96-3.11, 6 Cd 3.06-3.19, 2 Li 3.23
Cd (0.5000, 0.0000, 0.0000)  2 Cd 3.02, 4 In 3.12, 6 Li 3.12-3.19
Cd (0.6432, 0.2865, 0.4229)  4 Cd 3.02-3.16, 5 In 3.04-3.22, 3 Li 3.06-3.07
Cd (0.3568, 0.7135, 0.5771)  4 Cd 3.02-3.16, 5 In 3.04-3.22, 3 Li 3.06-3.07
In (0.9179, 0.8359, 0.2729)  4 Li 2.96-3.11, 7 Cd 3.04-3.22, 1 In 3.28
In (0.0821, 0.1641, 0.7271)  4 Li 2.96-3.11, 7 Cd 3.04-3.22, 1 In 3.28

=====

Version B
Entry from the Alexandria database: an optimized crystal structure of Li2Cd3In2 (GGA-PBE).

Summary:
As for the space group: Cmmm, No. 65. The calculation puts the density of states at the Fermi level at 0.176 states/eV per atom.

a b c (Å): 3.1307 4.5583 11.0055
angles (deg): 101.95 90.00 90.00
Closest atoms and distances in Å follow each position.
Element x y z (fractional)
Li (0.0000, 0.8514, 0.7029)  4 In 3.05, 2 Li 3.13, 5 Cd 3.20-3.22
Li (0.0000, 0.1486, 0.2971)  4 In 3.05, 2 Li 3.13, 5 Cd 3.20-3.22
Cd (0.5000, 0.5723, 0.1446)  1 In 2.93, 7 Cd 3.11-3.17, 4 Li 3.22
Cd (0.5000, 0.4277, 0.8554)  1 In 2.93, 7 Cd 3.11-3.17, 4 Li 3.22
Cd (0.0000, 0.0000, 0.0000)  10 Cd 3.13-3.17, 2 Li 3.20
In (0.5000, 0.7086, 0.4172)  4 In 2.89-3.13, 1 Cd 2.93, 4 Li 3.05
In (0.5000, 0.2914, 0.5828)  4 In 2.89-3.13, 1 Cd 2.93, 4 Li 3.05

=====

In order of decreasing stability: version A, version B.